Tl2VPt3O12 (PBE+U, relaxed); magnetic moment = 0.0 μB per cell; VASP energy = -5.619 eV/atom; theoretical density = 7.8 Mg/m³
1.0
3.580 2.067 5.895
-3.580 2.067 5.895
0.000 -4.134 5.895
Tl V Pt O
2 1 3 12
Cartesian
0.000 0.000 3.230
0.000 0.000 14.454
0.000 0.000 8.842
-1.790 -1.033 5.895
-1.790 1.033 11.789
0.000 2.067 5.895
0.000 -1.626 5.229
-1.408 0.813 5.229
-1.336 -0.771 7.784
0.000 -1.543 9.900
-1.336 0.771 9.900
-1.408 -0.813 12.455
1.408 0.813 5.229
1.336 -0.771 7.784
0.000 1.543 7.784
1.336 0.771 9.900
1.408 -0.813 12.455
0.000 1.626 12.455